[1]
Below is a relaxed HfCu2Sn crystal, with properties calculated at the GGA-PBE level.

```
data_HfCu2Sn
_chemical_formula_sum 'Hf4 Cu8 Sn4'
_symmetry_space_group_name_H-M 'I -4 2 d'
_symmetry_Int_Tables_number 122
_symmetry_space_group_name_Hall 'I -4 2bw'
_cell_length_a 4.0842
_cell_length_b 4.0842
_cell_length_c 18.4059
_cell_angle_alpha 90.00
_cell_angle_beta 90.00
_cell_angle_gamma 90.00
loop_
_atom_site_label
_atom_site_fract_x
_atom_site_fract_y
_atom_site_fract_z
Hf1 0.0000 0.0000 0.0000
Cu1 0.2455 0.2500 0.6250
Sn1 0.0000 0.0000 0.5000
```

[2]
Below is a relaxed Y6In2Pt crystal, with properties calculated at the GGA-PBE level.

```
data_Y6In2Pt
_chemical_formula_sum 'Y12 In4 Pt2'
_symmetry_space_group_name_H-M 'P 1 21/c 1'
_symmetry_Int_Tables_number 14
_cell_length_a 6.0963
_cell_length_b 8.6563
_cell_length_c 11.4241
_cell_angle_alpha 90.00
_cell_angle_beta 119.63
_cell_angle_gamma 90.00
loop_
_symmetry_equiv_pos_as_xyz
'x,y,z'
'-x,-y,-z'
'-x,y+1/2,-z+1/2'
'x,-y+1/2,z+1/2'
loop_
_atom_site_label
_atom_site_fract_x
_atom_site_fract_y
_atom_site_fract_z
Y1 0.0491 0.1806 0.4424
Y2 0.3424 0.6745 0.4437
Y3 0.3708 0.0281 0.2678
In1 0.1712 0.1241 0.7497
Pt1 0.0000 0.0000 0.0000
```

Magnetic moment values (in μB/f.u.) by entry order: 0.00; 0.00.
DFT total energy values (in eV/cell) by entry order: -84.925; -108.677.